No. 1
Computed, not measured: a geometry-optimized Th2Zn12CdCu3 structure at the PBE level of DFT.

Cell and atoms, written as CIF:
```
data_Th2Zn12CdCu3
_chemical_formula_sum 'Th2 Zn12 Cd1 Cu3'
_symmetry_space_group_name_H-M 'P 1'
_symmetry_Int_Tables_number 1
_symmetry_space_group_name_Hall 'P 1'
_cell_length_a 10.6454
_cell_length_b 10.6454
_cell_length_c 10.6454
_cell_angle_alpha 34.03
_cell_angle_beta 34.03
_cell_angle_gamma 34.03
loop_
_atom_site_label
_atom_site_fract_x
_atom_site_fract_y
_atom_site_fract_z
Th1 0.6403 0.6403 0.6403
Th2 0.3597 0.3597 0.3597
Zn1 0.4115 0.4115 0.8128
Zn2 0.8839 0.8839 0.4276
Zn3 0.4276 0.8839 0.8839
Zn4 0.8128 0.4115 0.4115
Zn5 0.8839 0.4276 0.8839
Zn6 0.4115 0.8128 0.4115
Zn7 0.5885 0.5885 0.1872
Zn8 0.1161 0.1161 0.5724
Zn9 0.5724 0.1161 0.1161
Zn10 0.1872 0.5885 0.5885
Zn11 0.1161 0.5724 0.1161
Zn12 0.5885 0.1872 0.5885
Cd1 0.0000 0.0000 0.0000
Cu1 0.5000 0.0000 0.0000
Cu2 0.0000 0.5000 0.0000
Cu3 0.0000 0.0000 0.5000
```

Values from the calculation:
Formation enthalpy at 0 K = 64 kJ/mol of formula units


No. 2
Computed, not measured: a geometry-optimized SiGePt2 structure at the PBE level of DFT.

Cell and atoms, written as CIF:
```
data_SiGePt2
_chemical_formula_sum 'Si1 Ge1 Pt2'
_symmetry_space_group_name_H-M 'P 1'
_symmetry_Int_Tables_number 1
_symmetry_space_group_name_Hall 'P 1'
_cell_length_a 3.9553
_cell_length_b 3.9553
_cell_length_c 6.8100
_cell_angle_alpha 73.12
_cell_angle_beta 73.12
_cell_angle_gamma 60.00
loop_
_atom_site_label
_atom_site_fract_x
_atom_site_fract_y
_atom_site_fract_z
Ge1 0.0000 0.0000 0.0000
Si1 0.5000 0.5000 0.5000
Pt1 0.1205 0.1205 0.6385
Pt2 0.8795 0.8795 0.3615
```

Values from the calculation:
E_form (uncorrected) = -0.20 eV/atom
ΔE to the lowest computed polymorph = 0.380 eV per atom


No. 3
Computed, not measured: a geometry-optimized PrSb3 structure at the PBE level of DFT.

Cell and atoms, written as CIF:
```
data_PrSb3
_chemical_formula_sum 'Pr1 Sb3'
_symmetry_space_group_name_H-M 'P 1'
_symmetry_Int_Tables_number 1
_symmetry_space_group_name_Hall 'P 1'
_cell_length_a 4.5615
_cell_length_b 4.5615
_cell_length_c 6.3554
_cell_angle_alpha 111.03
_cell_angle_beta 111.03
_cell_angle_gamma 90.00
loop_
_atom_site_label
_atom_site_fract_x
_atom_site_fract_y
_atom_site_fract_z
Pr1 0.0000 0.0000 0.0000
Sb1 0.7500 0.2500 0.5000
Sb2 0.2500 0.7500 0.5000
Sb3 0.5000 0.5000 0.0000
```

Values from the calculation:
E_form (uncorrected) = -0.51 eV/atom
ΔE to the lowest computed polymorph = 0.006 eV per atom


No. 4
Computed, not measured: a geometry-optimized NaCdGa2 structure at the PBE level of DFT.

Cell and atoms, written as CIF:
```
data_NaCdGa2
_chemical_formula_sum 'Na2 Cd2 Ga4'
_symmetry_space_group_name_H-M 'P 1'
_symmetry_Int_Tables_number 1
_symmetry_space_group_name_Hall 'P 1'
_cell_length_a 4.6772
_cell_length_b 5.8110
_cell_length_c 7.0090
_cell_angle_alpha 90.00
_cell_angle_beta 90.00
_cell_angle_gamma 113.73
loop_
_atom_site_label
_atom_site_fract_x
_atom_site_fract_y
_atom_site_fract_z
Na1 0.9166 0.8333 0.2500
Na2 0.0834 0.1667 0.7500
Cd1 0.2126 0.4251 0.2500
Cd2 0.7874 0.5749 0.7500
Ga1 0.3831 0.7661 0.9408
Ga2 0.6169 0.2339 0.0592
Ga3 0.6169 0.2339 0.4408
Ga4 0.3831 0.7661 0.5592
```

Values from the calculation:
Formation enthalpy at 0 K = -38 kJ/mol of formula units


No. 5
Computed, not measured: a geometry-optimized Nd6Ir2RhI3 structure at the PBE level of DFT.

Cell and atoms, written as CIF:
```
data_Nd6Ir2RhI3
_chemical_formula_sum 'Nd6 Ir2 Rh1 I3'
_symmetry_space_group_name_H-M 'P 1'
_symmetry_Int_Tables_number 1
_symmetry_space_group_name_Hall 'P 1'
_cell_length_a 7.2888
_cell_length_b 7.2888
_cell_length_c 8.4880
_cell_angle_alpha 98.22
_cell_angle_beta 98.22
_cell_angle_gamma 120.01
loop_
_atom_site_label
_atom_site_fract_x
_atom_site_fract_y
_atom_site_fract_z
Nd1 0.9386 0.6042 0.8158
Nd2 0.7270 0.7270 0.1842
Nd3 0.0614 0.3958 0.1842
Nd4 0.6042 0.9386 0.8158
Nd5 0.2730 0.2730 0.8158
Nd6 0.3958 0.0614 0.1842
Ir1 0.3334 0.6666 0.0000
Ir2 0.6666 0.3334 0.0000
Rh1 0.0000 0.0000 0.0000
I1 0.1669 0.8331 0.5000
I2 0.8331 0.1669 0.5000
I3 0.5000 0.5000 0.5000
```

Values from the calculation:
E_form (uncorrected) = -0.96 eV/atom


No. 6
Computed, not measured: a geometry-optimized Be2CuAs structure at the PBE level of DFT.

Cell and atoms, written as CIF:
```
data_Be2CuAs
_chemical_formula_sum 'Be2 Cu1 As1'
_symmetry_space_group_name_H-M 'P 1'
_symmetry_Int_Tables_number 1
_symmetry_space_group_name_Hall 'P 1'
_cell_length_a 3.2637
_cell_length_b 3.2637
_cell_length_c 4.5577
_cell_angle_alpha 90.00
_cell_angle_beta 90.00
_cell_angle_gamma 90.00
loop_
_atom_site_label
_atom_site_fract_x
_atom_site_fract_y
_atom_site_fract_z
Be1 0.0000 0.0000 0.9949
Be2 0.5000 0.5000 0.2606
As1 0.5000 0.5000 0.7686
Cu1 0.0000 0.0000 0.4759
```

Values from the calculation:
Formation enthalpy at 0 K = 87 kJ/mol of formula units